#one
Here is a relaxed structure of NaH3Rh from Alexandria via LeMat-Bulk. Energies are from PBE-GGA.

Cell lengths 12.330, 5.384, 5.384 Å; angles 143.61, 148.08, 31.92 degrees
Element x y z (fractional)
H 0.936 0.372 0.628
H 0.351 0.824 0.176
H 0.064 0.628 0.372
H 0.180 0.776 0.224
H 0.820 0.224 0.776
H 0.649 0.176 0.824
Na 0.613 0.005 0.995
Na 0.387 0.995 0.005
Rh 0.087 0.040 0.960
Rh 0.913 0.960 0.040

Computed properties:
* V: 9.53 Å³ per atom
* DOS(E_F): 2.223 states/eV per cell
* spin magnetization: 0.00 μB/cell
* space-group type: C2/m, No. 12

=====

#two
Here is a relaxed structure of NaH3Rh from Alexandria via LeMat-Bulk. Energies are from PBE-GGA.

Cell lengths 3.399, 3.399, 8.223 Å; angles 90.00, 90.00, 120.00 degrees
Element x y z (fractional)
H 0.667 0.333 0.969
H 0.333 0.667 0.031
H 0.667 0.333 0.531
H 0.000 0.000 0.250
H 0.333 0.667 0.469
H 0.000 0.000 0.750
Na 0.667 0.333 0.250
Na 0.333 0.667 0.750
Rh 0.000 0.000 0.500
Rh 0.000 0.000 0.000

Computed properties:
* V: 8.23 Å³ per atom
* DOS(E_F): 1.966 states/eV per cell
* spin magnetization: 0.00 μB/cell
* space-group type: P6_3/mmc, No. 194

=====

#three
Here is a relaxed structure of NaH3Rh from Alexandria via LeMat-Bulk. Energies are from PBE-GGA.

Cell lengths 3.527, 3.527, 3.527 Å; angles 90.00, 90.00, 90.00 degrees
Element x y z (fractional)
H 0.000 0.500 0.000
H 0.500 0.000 0.000
H 0.000 0.000 0.500
Rh 0.000 0.000 0.000
Na 0.500 0.500 0.500

Computed properties:
* V: 8.77 Å³ per atom
* DOS(E_F): 0.801 states/eV per cell
* spin magnetization: 0.00 μB/cell
* space-group type: Pm-3m, No. 221

=====

Quick one: most stable of them? #three